A plane-wave DFT calculation with PBE-GGA was carried out for a relaxed structure of IrRu2Cl.

Theoretical density, g/cm3: 11.9
Calculated total energy, eV per formula unit: -26.7
N(E_F), states/eV/cell: 12.240

```
data_IrRu2Cl
_space_group_name_H-M_alt 'C m m m'
_space_group_IT_number 65
_space_group_name_Hall '-C 2 2'
_cell_length_a 2.741
_cell_length_b 4.941
_cell_length_c 8.868
_cell_angle_alpha 90.00
_cell_angle_beta 90.00
_cell_angle_gamma 90.00
loop_
_atom_site_label
_atom_site_type_symbol
_atom_site_fract_x
_atom_site_fract_y
_atom_site_fract_z
Ir1 Ir 0.000 0.000 0.000
Ru1 Ru 0.000 0.500 0.256
Cl1 Cl 0.000 0.000 0.500
```